(1)
This record from Alexandria via LeMat-Bulk describes an optimized crystal structure of Pm2ThSb2. The functional is PBE.

Computed properties:
**Calculated volume**: 316 Å³/cell
**DOS(E_F)**: 0.8461 states/eV per atom
**Symmetry**: Cmc2_1 (36)
**Uncorrected energy**: -28.783 eV per formula unit

a = 4.2819 Å, b = 7.4641 Å, c = 10.1131 Å
α = 90.00°, β = 102.22°, γ = 90.00°
Last column: nearest neighbours and their distance in Å.
Sites, in units of the cell vectors:
Sb (0.1729, 0.7793, 0.3457)  5 Pm 3.18-3.24, 2 Th 3.25
Sb (0.8271, 0.2793, 0.6543)  5 Pm 3.18-3.24, 2 Th 3.25
Sb (0.0412, 0.3060, 0.0824)  3 Pm 3.16-3.40, 4 Th 3.21-3.30
Sb (0.9588, 0.8060, 0.9176)  3 Pm 3.16-3.40, 4 Th 3.21-3.30
Pm (0.3814, 0.5707, 0.7628)  4 Sb 3.16-3.23, 1 Th 3.52
Pm (0.7879, 0.8574, 0.5758)  4 Sb 3.18-3.40, 2 Pm 3.55
Pm (0.2121, 0.3574, 0.4242)  4 Sb 3.18-3.40, 2 Pm 3.55
Pm (0.6186, 0.0707, 0.2372)  4 Sb 3.16-3.23, 1 Th 3.52
Th (0.4352, 0.1209, 0.8703)  6 Sb 3.21-3.30, 1 Pm 3.52
Th (0.5648, 0.6209, 0.1297)  6 Sb 3.21-3.30, 1 Pm 3.52



(2)
This record from Alexandria via LeMat-Bulk describes an optimized crystal structure of Pm3Th2Sb3. The functional is PBE.

Computed properties:
**Calculated volume**: 488 Å³/cell
**DOS(E_F)**: 0.6118 states/eV per atom
**Symmetry**: P6_3/mcm (193)
**Uncorrected energy**: -48.545 eV per formula unit

a = 6.4753 Å, b = 9.3300 Å, c = 9.3300 Å
α = 120.00°, β = 90.00°, γ = 90.00°
Last column: nearest neighbours and their distance in Å.
Sites, in units of the cell vectors:
Th (0.0000, 0.6667, 0.3333)  2 Th 3.24, 6 Sb 3.33
Th (0.5000, 0.6667, 0.3333)  2 Th 3.24, 6 Sb 3.33
Th (0.0000, 0.3333, 0.6667)  2 Th 3.24, 6 Sb 3.33
Th (0.5000, 0.3333, 0.6667)  2 Th 3.24, 6 Sb 3.33
Sb (0.2500, 0.6174, 0.6174)  5 Pm 3.15-3.44, 4 Th 3.33
Sb (0.2500, 0.3826, 0.0000)  5 Pm 3.15-3.44, 4 Th 3.33
Sb (0.7500, 0.3826, 0.3826)  5 Pm 3.15-3.44, 4 Th 3.33
Sb (0.2500, 0.0000, 0.3826)  5 Pm 3.15-3.44, 4 Th 3.33
Sb (0.7500, 0.6174, 0.0000)  5 Pm 3.15-3.44, 4 Th 3.33
Sb (0.7500, 0.0000, 0.6174)  5 Pm 3.15-3.44, 4 Th 3.33
Pm (0.7500, 0.7416, 0.7416)  5 Sb 3.15-3.44
Pm (0.7500, 0.0000, 0.2584)  5 Sb 3.15-3.44
Pm (0.2500, 0.7416, 0.0000)  5 Sb 3.15-3.44
Pm (0.7500, 0.2584, 0.0000)  5 Sb 3.15-3.44
Pm (0.2500, 0.0000, 0.7416)  5 Sb 3.15-3.44
Pm (0.2500, 0.2584, 0.2584)  5 Sb 3.15-3.44



(3)
This record from Alexandria via LeMat-Bulk describes an optimized crystal structure of PmTh4Sb5. The functional is PBE.

Computed properties:
**Calculated volume**: 323 Å³/cell
**DOS(E_F)**: 0.6066 states/eV per atom
**Symmetry**: Immm (71)
**Uncorrected energy**: -64.716 eV per formula unit

a = 4.5027 Å, b = 6.3624 Å, c = 11.9279 Å
α = 105.47°, β = 100.88°, γ = 90.00°
Last column: nearest neighbours and their distance in Å.
Sites, in units of the cell vectors:
Sb (0.4006, 0.9006, 0.8011)  2 Pm 3.18, 4 Th 3.18-3.19
Sb (0.8001, 0.3001, 0.6003)  6 Th 3.18-3.19
Sb (0.1999, 0.6999, 0.3997)  6 Th 3.18-3.19
Sb (0.0000, 0.5000, 0.0000)  4 Th 3.18, 2 Pm 3.18
Sb (0.5994, 0.0994, 0.1989)  2 Pm 3.18, 4 Th 3.18-3.19
Pm (0.0000, 0.0000, 0.0000)  6 Sb 3.18
Th (0.8001, 0.8001, 0.6002)  6 Sb 3.18-3.19
Th (0.4004, 0.4004, 0.8007)  6 Sb 3.18-3.19
Th (0.5996, 0.5996, 0.1993)  6 Sb 3.18-3.19
Th (0.1999, 0.1999, 0.3998)  6 Sb 3.18-3.19



(4)
This record from Alexandria via LeMat-Bulk describes an optimized crystal structure of Pm2ThSb4. The functional is PBE.

Computed properties:
**Calculated volume**: 468 Å³/cell
**DOS(E_F)**: 0.4117 states/eV per atom
**Symmetry**: Cmcm (63)
**Uncorrected energy**: -38.622 eV per formula unit

a = 4.5206 Å, b = 8.0796 Å, c = 13.3339 Å
α = 90.00°, β = 90.00°, γ = 106.25°
Last column: nearest neighbours and their distance in Å.
Sites, in units of the cell vectors:
Sb (0.9756, 0.9513, 0.7500)  2 Pm 3.04, 2 Th 3.09
Sb (0.7623, 0.5245, 0.3589)  1 Sb 2.90, 3 Pm 3.14-3.25
Sb (0.2377, 0.4755, 0.6411)  1 Sb 2.90, 3 Pm 3.14-3.25
Sb (0.5000, 0.0000, 0.0000)  4 Pm 3.12
Sb (0.0244, 0.0487, 0.2500)  2 Pm 3.04, 2 Th 3.09
Sb (0.7623, 0.5245, 0.1411)  1 Sb 2.90, 3 Pm 3.14-3.25
Sb (0.2377, 0.4755, 0.8589)  1 Sb 2.90, 3 Pm 3.14-3.25
Sb (0.5000, 0.0000, 0.5000)  4 Pm 3.12
Pm (0.8702, 0.7404, 0.5581)  6 Sb 3.04-3.25
Pm (0.1298, 0.2596, 0.4419)  6 Sb 3.04-3.25
Pm (0.1298, 0.2596, 0.0581)  6 Sb 3.04-3.25
Pm (0.8702, 0.7404, 0.9419)  6 Sb 3.04-3.25
Th (0.3882, 0.7763, 0.2500)  6 Sb 3.09-3.32
Th (0.6118, 0.2237, 0.7500)  6 Sb 3.09-3.32



(5)
This record from Alexandria via LeMat-Bulk describes an optimized crystal structure of PmTmTh2Sb4. The functional is PBE.

Computed properties:
**Calculated volume**: 251 Å³/cell
**DOS(E_F)**: 0.5472 states/eV per atom
**Symmetry**: P2/m (10)
**Uncorrected energy**: -48.685 eV per formula unit

a = 4.4721 Å, b = 7.7464 Å, c = 7.6975 Å
α = 109.66°, β = 90.00°, γ = 90.00°
Last column: nearest neighbours and their distance in Å.
Sites, in units of the cell vectors:
Sb (0.5000, 0.2527, 0.2447)  1 Tm 3.11, 2 Pm 3.15, 3 Th 3.16-3.21
Sb (0.0000, 0.7424, 0.2411)  2 Tm 3.10, 1 Pm 3.15, 3 Th 3.16-3.21
Sb (0.0000, 0.2576, 0.7589)  2 Tm 3.10, 1 Pm 3.15, 3 Th 3.16-3.21
Sb (0.5000, 0.7473, 0.7553)  1 Tm 3.11, 2 Pm 3.15, 3 Th 3.16-3.21
Pm (0.0000, 0.0000, 0.0000)  6 Sb 3.15
Tm (0.5000, 0.5000, 0.0000)  6 Sb 3.10-3.11
Th (0.5000, 0.0000, 0.5000)  6 Sb 3.21
Th (0.0000, 0.5000, 0.5000)  6 Sb 3.16



(6)
This record from Alexandria via LeMat-Bulk describes an optimized crystal structure of Pm3TmTh2Sb6. The functional is PBE.

Computed properties:
**Calculated volume**: 380 Å³/cell
**DOS(E_F)**: 0.3899 states/eV per atom
**Symmetry**: C2/m (12)
**Uncorrected energy**: -71.293 eV per formula unit

a = 4.4812 Å, b = 8.9417 Å, c = 10.0096 Å
α = 103.09°, β = 102.94°, γ = 90.00°
Last column: nearest neighbours and their distance in Å.
Sites, in units of the cell vectors:
Sb (0.3364, 0.9196, 0.6729)  1 Tm 3.10, 3 Pm 3.15-3.20, 2 Th 3.16
Sb (0.6636, 0.0804, 0.3271)  1 Tm 3.10, 3 Pm 3.15-3.20, 2 Th 3.16
Sb (0.9987, 0.2421, 0.9974)  2 Tm 3.12, 1 Th 3.15, 3 Pm 3.16-3.21
Sb (0.6670, 0.5839, 0.3340)  3 Pm 3.17, 3 Th 3.18-3.20
Sb (0.0013, 0.7579, 0.0026)  2 Tm 3.12, 1 Th 3.15, 3 Pm 3.16-3.21
Sb (0.3330, 0.4161, 0.6660)  3 Pm 3.17, 3 Th 3.18-3.20
Pm (0.1676, 0.8343, 0.3351)  6 Sb 3.15-3.20
Pm (0.8324, 0.1657, 0.6649)  6 Sb 3.15-3.20
Pm (0.5000, 0.5000, 0.0000)  6 Sb 3.17-3.21
Th (0.8354, 0.6693, 0.6709)  6 Sb 3.15-3.20
Th (0.1646, 0.3307, 0.3291)  6 Sb 3.15-3.20
Tm (0.5000, 0.0000, 0.0000)  6 Sb 3.10-3.12



(7)
This record from Alexandria via LeMat-Bulk describes an optimized crystal structure of Pm2TmThSb5. The functional is PBE.

Computed properties:
**Calculated volume**: 321 Å³/cell
**DOS(E_F)**: 0.4561 states/eV per atom
**Symmetry**: P4/mmm (123)
**Uncorrected energy**: -44.508 eV per formula unit

a = 5.2083 Å, b = 5.2083 Å, c = 11.8487 Å
α = 90.00°, β = 90.00°, γ = 90.00°
Last column: nearest neighbours and their distance in Å.
Sites, in units of the cell vectors:
Pm (0.5000, 0.5000, 0.2849)  9 Sb 3.38-3.71
Pm (0.5000, 0.5000, 0.7151)  9 Sb 3.38-3.71
Sb (0.0000, 0.0000, 0.7499)  1 Tm 2.96, 1 Th 2.96
Sb (0.5000, 0.0000, 0.5000)  2 Tm 2.60
Sb (0.0000, 0.0000, 0.2501)  1 Tm 2.96, 1 Th 2.96
Sb (0.5000, 0.5000, 0.0000)  2 Pm 3.38, 4 Th 3.68
Sb (0.0000, 0.5000, 0.5000)  2 Tm 2.60
Th (0.0000, 0.0000, 0.0000)  2 Sb 2.96
Tm (0.0000, 0.0000, 0.5000)  4 Sb 2.60



(8)
This record from Alexandria via LeMat-Bulk describes an optimized crystal structure of PmTm2ThSb4. The functional is PBE.

Computed properties:
**Calculated volume**: 244 Å³/cell
**DOS(E_F)**: 0.2199 states/eV per atom
**Symmetry**: P2/m (10)
**Uncorrected energy**: -46.155 eV per formula unit

a = 4.4282 Å, b = 7.6271 Å, c = 7.6611 Å
α = 70.48°, β = 90.00°, γ = 90.00°
Last column: nearest neighbours and their distance in Å.
Sites, in units of the cell vectors:
Tm (0.5000, 0.0000, 0.5000)  6 Sb 3.08
Tm (0.0000, 0.0000, 0.0000)  6 Sb 3.08
Sb (0.5000, 0.2384, 0.7545)  3 Tm 3.08, 1 Pm 3.17, 2 Th 3.18
Sb (0.0000, 0.2391, 0.2535)  3 Tm 3.08, 1 Th 3.17, 2 Pm 3.17
Sb (0.0000, 0.7609, 0.7465)  3 Tm 3.08, 1 Th 3.17, 2 Pm 3.17
Sb (0.5000, 0.7616, 0.2455)  3 Tm 3.08, 1 Pm 3.17, 2 Th 3.18
Pm (0.5000, 0.5000, 0.0000)  6 Sb 3.17
Th (0.0000, 0.5000, 0.5000)  6 Sb 3.17-3.18



(9)
This record from Alexandria via LeMat-Bulk describes an optimized crystal structure of PmTm3Th2Sb6. The functional is PBE.

Computed properties:
**Calculated volume**: 366 Å³/cell
**DOS(E_F)**: 0.3762 states/eV per atom
**Symmetry**: C2/m (12)
**Uncorrected energy**: -70.205 eV per formula unit

a = 4.4320 Å, b = 8.8181 Å, c = 9.8699 Å
α = 102.59°, β = 102.97°, γ = 90.00°
Last column: nearest neighbours and their distance in Å.
Sites, in units of the cell vectors:
Th (0.8347, 0.6688, 0.6694)  6 Sb 3.15-3.19
Th (0.1653, 0.3312, 0.3306)  6 Sb 3.15-3.19
Sb (0.0029, 0.7439, 0.0059)  3 Tm 3.06-3.08, 1 Th 3.15, 2 Pm 3.17
Sb (0.9971, 0.2561, 0.9941)  3 Tm 3.06-3.08, 1 Th 3.15, 2 Pm 3.17
Sb (0.6644, 0.5901, 0.3288)  3 Tm 3.08, 3 Th 3.18-3.19
Sb (0.6692, 0.0761, 0.3384)  3 Tm 3.07-3.09, 2 Th 3.17, 1 Pm 3.17
Sb (0.3356, 0.4099, 0.6712)  3 Tm 3.08, 3 Th 3.18-3.19
Sb (0.3308, 0.9239, 0.6616)  3 Tm 3.07-3.09, 2 Th 3.17, 1 Pm 3.17
Pm (0.5000, 0.0000, 0.0000)  6 Sb 3.17
Tm (0.5000, 0.5000, 0.0000)  6 Sb 3.08
Tm (0.1661, 0.8337, 0.3322)  6 Sb 3.06-3.09
Tm (0.8339, 0.1663, 0.6678)  6 Sb 3.06-3.09



(10)
This record from Alexandria via LeMat-Bulk describes an optimized crystal structure of PmYTh2Sb5. The functional is PBE.

Computed properties:
**Calculated volume**: 329 Å³/cell
**DOS(E_F)**: 0.5165 states/eV per atom
**Symmetry**: P4/mmm (123)
**Uncorrected energy**: -47.512 eV per formula unit

a = 5.3436 Å, b = 5.3436 Å, c = 11.5176 Å
α = 90.00°, β = 90.00°, γ = 90.00°
Last column: nearest neighbours and their distance in Å.
Sites, in units of the cell vectors:
Sb (0.0000, 0.0000, 0.2455)  1 Y 2.83, 1 Pm 2.93
Sb (0.5000, 0.5000, 0.0000)  2 Th 3.46, 4 Y 3.78
Sb (0.5000, 0.0000, 0.5000)  2 Pm 2.67
Sb (0.0000, 0.5000, 0.5000)  2 Pm 2.67
Sb (0.0000, 0.0000, 0.7545)  1 Y 2.83, 1 Pm 2.93
Th (0.5000, 0.5000, 0.6994)  9 Sb 3.46-3.83
Th (0.5000, 0.5000, 0.3006)  9 Sb 3.46-3.83
Pm (0.0000, 0.0000, 0.5000)  6 Sb 2.67-2.93
Y (0.0000, 0.0000, 0.0000)  2 Sb 2.83



Asked for M_tot across the records above, the calculation gives 0.0; 0.0; 0.0; 0.0; 0.0; 0.0; 0.0; 0.0; 0.0; 0.0 Bohr magnetons per cell in order.